No. 1
Below is a relaxed Ac6CoAu2Br3 crystal, with properties calculated at the GGA-PBE level.

Results
Formation energy from raw total energies = -0.96 eV per atom
Crystal system = monoclinic

Lattice parameters (Å, degrees): 7.7980 7.7980 8.5393 98.61 98.61 120.29
Last column: nearest neighbours and their distance in Å.
Fractional positions:
Br: 0.8408 0.1592 0.5000  6 Ac 3.46-3.79
Br: 0.5000 0.5000 0.5000  6 Ac 3.52-3.70
Co: 0.0000 0.0000 0.0000  6 Ac 2.90
Ac: 0.6261 0.9345 0.8018  1 Co 2.90, 2 Au 3.14
Ac: 0.0655 0.3739 0.1982  1 Co 2.90, 2 Au 3.14
Au: 0.6675 0.3325 0.0000  6 Ac 3.14
Br: 0.1592 0.8408 0.5000  6 Ac 3.46-3.79
Ac: 0.3739 0.0655 0.1982  1 Co 2.90, 2 Au 3.14
Ac: 0.7547 0.7547 0.1973  1 Co 2.90, 2 Au 3.14
Au: 0.3325 0.6675 0.0000  6 Ac 3.14
Ac: 0.2453 0.2453 0.8027  1 Co 2.90, 2 Au 3.14
Ac: 0.9345 0.6261 0.8018  1 Co 2.90, 2 Au 3.14

***

No. 2
Below is a relaxed AcHgAuBr crystal, with properties calculated at the GGA-PBE level.

Results
Formation energy from raw total energies = -0.83 eV per atom
Crystal system = cubic

Lattice parameters (Å, degrees): 5.3660 5.3660 5.3660 60.00 60.00 60.00
Last column: nearest neighbours and their distance in Å.
Fractional positions:
Au: 0.7500 0.7500 0.7500  4 Hg 3.29, 4 Ac 3.29
Ac: 0.5000 0.5000 0.5000  4 Br 3.29, 4 Au 3.29
Br: 0.2500 0.2500 0.2500  4 Hg 3.29, 4 Ac 3.29
Hg: 0.0000 0.0000 0.0000  4 Au 3.29, 4 Br 3.29

***

No. 3
Below is a relaxed Ac6Ir2AuBr3 crystal, with properties calculated at the GGA-PBE level.

Results
Formation energy from raw total energies = -1.17 eV per atom
Crystal system = monoclinic

Lattice parameters (Å, degrees): 7.6950 7.6950 8.6315 98.51 98.51 120.03
Last column: nearest neighbours and their distance in Å.
Fractional positions:
Ac: 0.2857 0.2857 0.8037  2 Ir 2.98, 1 Au 3.15
Ir: 0.6666 0.3334 0.0000  6 Ac 2.98
Ac: 0.0654 0.4162 0.1964  2 Ir 2.98, 1 Au 3.15
Ac: 0.7143 0.7143 0.1963  2 Ir 2.98, 1 Au 3.15
Ac: 0.5838 0.9346 0.8036  2 Ir 2.98, 1 Au 3.15
Ac: 0.9346 0.5838 0.8036  2 Ir 2.98, 1 Au 3.15
Br: 0.5000 0.5000 0.5000  6 Ac 3.49-3.64
Br: 0.8317 0.1683 0.5000  6 Ac 3.48-3.65
Ir: 0.3334 0.6666 0.0000  6 Ac 2.98
Au: 0.0000 0.0000 0.0000  6 Ac 3.15
Br: 0.1683 0.8317 0.5000  6 Ac 3.48-3.65
Ac: 0.4162 0.0654 0.1964  2 Ir 2.98, 1 Au 3.15

***

No. 4
Below is a relaxed Ac4IrAuBr2 crystal, with properties calculated at the GGA-PBE level.

Results
Formation energy from raw total energies = -1.13 eV per atom
Crystal system = monoclinic

Lattice parameters (Å, degrees): 4.4715 7.7954 8.6250 107.75 90.00 90.00
Last column: nearest neighbours and their distance in Å.
Fractional positions:
Ac: 0.5000 0.7495 0.8025  1 Ir 2.95, 2 Au 3.11
Ir: 0.5000 0.5000 0.0000  6 Ac 2.95-3.01
Ac: 0.0000 0.2794 0.8041  2 Ir 3.01, 1 Au 3.14
Br: 0.5000 0.0000 0.5000  6 Ac 3.62-3.70
Ac: 0.0000 0.7206 0.1959  2 Ir 3.01, 1 Au 3.14
Br: 0.0000 0.5000 0.5000  6 Ac 3.53-3.55
Au: 0.0000 0.0000 0.0000  6 Ac 3.11-3.14
Ac: 0.5000 0.2505 0.1975  1 Ir 2.95, 2 Au 3.11

***

No. 5
Below is a relaxed Ac3IrAuBr crystal, with properties calculated at the GGA-PBE level.

Results
Formation energy from raw total energies = -1.00 eV per atom
Crystal system = monoclinic

Lattice parameters (Å, degrees): 4.3967 11.8826 7.8788 91.04 90.00 90.00
Last column: nearest neighbours and their distance in Å.
Fractional positions:
Ac: 0.2500 0.7882 0.3943  1 Ir 2.87, 2 Au 3.13
Ac: 0.7500 0.5075 0.2198  3 Ir 3.07, 3 Au 3.29-3.30
Ir: 0.7500 0.3388 0.9198  6 Ac 2.87-3.07
Au: 0.2500 0.3497 0.4186  6 Ac 3.13-3.30
Ac: 0.2500 0.4925 0.7802  3 Ir 3.07, 3 Au 3.29-3.30
Ac: 0.2500 0.2103 0.0717  2 Ir 2.94, 1 Au 3.17
Ac: 0.7500 0.2118 0.6057  1 Ir 2.87, 2 Au 3.13
Au: 0.7500 0.6503 0.5814  6 Ac 3.13-3.30
Br: 0.7500 0.0005 0.2558  6 Ac 3.53-3.70
Ac: 0.7500 0.7897 0.9283  2 Ir 2.94, 1 Au 3.17
Ir: 0.2500 0.6612 0.0802  6 Ac 2.87-3.07
Br: 0.2500 0.9995 0.7442  6 Ac 3.53-3.70

***

No. 6
Below is a relaxed Ac6Ir3Au2Br crystal, with properties calculated at the GGA-PBE level.

Results
Formation energy from raw total energies = -0.90 eV per atom
Crystal system = monoclinic

Lattice parameters (Å, degrees): 4.3763 9.2050 10.1892 106.55 102.40 90.00
Last column: nearest neighbours and their distance in Å.
Fractional positions:
Au: 0.1637 0.3271 0.3275  6 Ac 3.33-3.38
Br: 0.5000 0.0000 0.0000  6 Ac 3.40-3.41
Ir: 0.8347 0.1686 0.6694  6 Ac 2.98-3.04
Ir: 0.5000 0.5000 0.0000  6 Ac 2.97-3.04
Ac: 0.3228 0.9373 0.6456  3 Ir 3.00-3.01, 2 Au 3.34
Ac: 0.6772 0.0627 0.3544  3 Ir 3.00-3.01, 2 Au 3.34
Ac: 0.9913 0.2778 0.9826  3 Ir 2.97-2.98
Au: 0.8363 0.6729 0.6725  6 Ac 3.33-3.38
Ac: 0.3402 0.4003 0.6805  3 Ir 3.04, 3 Au 3.35-3.38
Ac: 0.6598 0.5997 0.3195  3 Ir 3.04, 3 Au 3.35-3.38
Ac: 0.0087 0.7222 0.0174  3 Ir 2.97-2.98
Ir: 0.1653 0.8314 0.3306  6 Ac 2.98-3.04

***

No. 7
Below is a relaxed Ac8Ir3AuBr4 crystal, with properties calculated at the GGA-PBE level.

Results
Formation energy from raw total energies = -1.17 eV per atom
Crystal system = monoclinic

Lattice parameters (Å, degrees): 8.8443 9.6955 8.8438 117.17 120.00 90.00
Last column: nearest neighbours and their distance in Å.
Fractional positions:
Ac: 0.2387 0.6957 0.9574  2 Ir 2.98, 1 Au 3.11
Ir: 0.5000 0.5000 0.0000  6 Ac 2.98-3.01
Br: 0.5000 0.0000 0.5000  6 Ac 3.59-3.62
Br: 0.0000 0.0000 0.0000  6 Ac 3.59-3.62
Br: 0.5000 0.0000 0.0000  6 Ac 3.50-3.51
Ac: 0.7614 0.3043 0.5228  2 Ir 2.98, 1 Au 3.11
Ir: 0.5000 0.5000 0.5000  6 Ac 2.98-3.01
Ir: 0.0000 0.5000 0.5000  6 Ac 2.98-3.01
Ac: 0.2813 0.3043 0.0426  2 Ir 2.98, 1 Au 3.11
Br: 0.0000 0.0000 0.5000  6 Ac 3.59-3.62
Ac: 0.2686 0.3061 0.5371  3 Ir 3.01
Ac: 0.7187 0.6957 0.9574  2 Ir 2.98, 1 Au 3.11
Ac: 0.7314 0.6939 0.4629  3 Ir 3.01
Au: 0.0000 0.5000 0.0000  6 Ac 3.11
Ac: 0.2386 0.6957 0.4772  2 Ir 2.98, 1 Au 3.11
Ac: 0.7613 0.3043 0.0426  2 Ir 2.98, 1 Au 3.11

***

No. 8
Below is a relaxed AcLaAuBr crystal, with properties calculated at the GGA-PBE level.

Results
Formation energy from raw total energies = -0.84 eV per atom
Crystal system = cubic

Lattice parameters (Å, degrees): 5.4906 5.4906 5.4906 60.00 60.00 60.00
Last column: nearest neighbours and their distance in Å.
Fractional positions:
La: 0.5000 0.5000 0.5000  4 Br 3.36, 4 Au 3.36
Ac: 0.0000 0.0000 0.0000  4 Br 3.36, 4 Au 3.36
Br: 0.2500 0.2500 0.2500  4 La 3.36, 4 Ac 3.36
Au: 0.7500 0.7500 0.7500  4 Ac 3.36, 4 La 3.36

***

No. 9
Below is a relaxed Ac6Ni2AuBr3 crystal, with properties calculated at the GGA-PBE level.

Results
Formation energy from raw total energies = -0.90 eV per atom
Crystal system = monoclinic

Lattice parameters (Å, degrees): 4.4180 9.6712 10.6051 109.46 102.02 90.00
Last column: nearest neighbours and their distance in Å.
Fractional positions:
Ac: 0.6608 0.1239 0.3216  2 Ni 2.98, 1 Au 3.14
Ac: 0.9814 0.7639 0.9628  1 Ni 2.92, 2 Au 3.11
Br: 0.8349 0.1651 0.6698  6 Ac 3.50-3.64
Ni: 0.1684 0.3362 0.3368  6 Ac 2.92-2.99
Au: 0.5000 0.0000 0.0000  6 Ac 3.11-3.14
Ac: 0.6815 0.5521 0.3630  3 Ni 2.93-2.99
Br: 0.1651 0.8349 0.3302  6 Ac 3.50-3.64
Br: 0.5000 0.5000 0.0000  6 Ac 3.49-3.62
Ac: 0.3185 0.4479 0.6370  3 Ni 2.93-2.99
Ac: 0.0186 0.2361 0.0372  1 Ni 2.92, 2 Au 3.11
Ac: 0.3392 0.8761 0.6784  2 Ni 2.98, 1 Au 3.14
Ni: 0.8316 0.6638 0.6632  6 Ac 2.92-2.99

***

No. 10
Below is a relaxed Ac6Os2AuBr3 crystal, with properties calculated at the GGA-PBE level.

Results
Formation energy from raw total energies = -0.91 eV per atom
Crystal system = monoclinic

Lattice parameters (Å, degrees): 7.6464 7.6464 8.6392 98.44 98.44 120.02
Last column: nearest neighbours and their distance in Å.
Fractional positions:
Ac: 0.5791 0.9347 0.8036  2 Os 2.95-2.96, 1 Au 3.17
Br: 0.5000 0.5000 0.5000  6 Ac 3.45-3.64
Br: 0.8303 0.1697 0.5000  6 Ac 3.43-3.67
Br: 0.1697 0.8303 0.5000  6 Ac 3.43-3.67
Ac: 0.7093 0.7093 0.1966  2 Os 2.95, 1 Au 3.17
Os: 0.6664 0.3336 0.0000  6 Ac 2.95-2.96
Os: 0.3336 0.6664 0.0000  6 Ac 2.95-2.96
Ac: 0.0653 0.4209 0.1964  2 Os 2.95-2.96, 1 Au 3.17
Ac: 0.9347 0.5791 0.8036  2 Os 2.95-2.96, 1 Au 3.17
Au: 0.0000 0.0000 0.0000  6 Ac 3.17
Ac: 0.2907 0.2907 0.8034  2 Os 2.95, 1 Au 3.17
Ac: 0.4209 0.0653 0.1964  2 Os 2.95-2.96, 1 Au 3.17